Record 1
# LiMg2Au

LiMg2Au after structural relaxation (PBE, Alexandria via LeMat-Bulk).

Cell lengths 7.579, 7.579, 5.846 Å; angles 90.00, 90.00, 90.00 degrees
Space group I-42d (No. 122)
Unique sites:
Li: 0.000 0.000 0.000 x4
Mg: 0.225 0.250 0.625 x8
Au: 0.000 0.000 0.500 x4

## Properties
- calculated volume (Å³/f.u.) = 84
- energy of formation from the pure elements (kJ per mole of atoms) = -16.5
- calculated density (kg/m³) = 4995
- DOS at the Fermi energy (states/eV per atom) = 0.214
- M_tot (μB/f.u.) = 0.000

***

Record 2
# NaLaSeBr2

NaLaSeBr2 after structural relaxation (PBE, Alexandria via LeMat-Bulk).

Cell lengths 5.041, 5.041, 5.565 Å; angles 90.00, 90.00, 90.00 degrees
Space group P4/mmm (No. 123)
Unique sites:
Na: 0.000 0.000 0.000 x1
La: 0.500 0.500 0.500 x1
Se: 0.000 0.000 0.500 x1
Br: 0.000 0.500 0.000 x2

## Properties
- calculated volume (Å³/f.u.) = 141
- formation energy (no corrections) (kcal/mol of atoms) = -26.34
- energy relative to the lowest polymorph listed for this composition (meV/atom) = 390
- calculated density (kg/m³) = 4705
- M_tot (μB/f.u.) = 0.248

***

Please write out number 2 again, unchanged.
# NaLaSeBr2

NaLaSeBr2 after structural relaxation (PBE, Alexandria via LeMat-Bulk).

Cell lengths 5.041, 5.041, 5.565 Å; angles 90.00, 90.00, 90.00 degrees
Space group P4/mmm (No. 123)
Unique sites:
Na: 0.000 0.000 0.000 x1
La: 0.500 0.500 0.500 x1
Se: 0.000 0.000 0.500 x1
Br: 0.000 0.500 0.000 x2

## Properties
- calculated volume (Å³/f.u.) = 141
- formation energy (no corrections) (kcal/mol of atoms) = -26.34
- energy relative to the lowest polymorph listed for this composition (meV/atom) = 390
- calculated density (kg/m³) = 4705
- M_tot (μB/f.u.) = 0.248